Entry 1:
! ThSiS meta-GGA SCAN PBEsol geometry; values from VASP
&SYSTEM
  ibrav = 0, nat = 12, ntyp = 3
/
ATOMIC_SPECIES
Th 232.04 Th.upf
Si 28.09 Si.upf
S 32.06 S.upf
CELL_PARAMETERS angstrom
3.8645 0.0000 0.0000
0.0000 3.8645 0.0000
0.0000 0.0000 16.9845
ATOMIC_POSITIONS angstrom
Th 0.0000 0.0000 2.3617
Th 0.0000 0.0000 14.6228
Th 1.9323 1.9323 6.1305
Th 1.9323 1.9323 10.8540
Si 0.0000 1.9323 0.0000
Si 0.0000 1.9323 8.4923
Si 1.9323 0.0000 0.0000
Si 1.9323 0.0000 8.4923
S 0.0000 0.0000 5.3042
S 0.0000 0.0000 11.6803
S 1.9323 1.9323 3.1881
S 1.9323 1.9323 13.7964
! D(E_F) = 0.175 states/eV per atom
! volume = 21.1 Å³/atom
! total DFT energy (no corrections) = -39.929 eV/atom
! total magnetization = 0.0 μB/cell
! space group = No. 139

***

Entry 2:
! NbCoSe2N meta-GGA SCAN PBEsol geometry; values from VASP
&SYSTEM
  ibrav = 0, nat = 5, ntyp = 4
/
ATOMIC_SPECIES
Nb 92.91 Nb.upf
Co 58.93 Co.upf
Se 78.96 Se.upf
N 14.01 N.upf
CELL_PARAMETERS angstrom
4.8020 0.0000 0.0000
0.0000 4.8020 0.0000
0.0000 0.0000 3.3380
ATOMIC_POSITIONS angstrom
Nb 0.0000 0.0000 0.0000
Co 2.4010 2.4010 1.6690
Se 0.0000 2.4010 1.6690
Se 2.4010 0.0000 1.6690
N 2.4010 2.4010 0.0000
! D(E_F) = 0.446 states/eV per atom
! volume = 15.4 Å³/atom
! total DFT energy (no corrections) = -19.685 eV/atom
! total magnetization = 1.7 μB/cell
! space group = No. 123

***

Entry 3:
! YCu2Bi2Se2O4 meta-GGA SCAN PBEsol geometry; values from VASP
&SYSTEM
  ibrav = 0, nat = 11, ntyp = 5
/
ATOMIC_SPECIES
Y 88.91 Y.upf
Cu 63.55 Cu.upf
Bi 208.98 Bi.upf
Se 78.96 Se.upf
O 16.00 O.upf
CELL_PARAMETERS angstrom
-1.9194 1.9194 12.1877
1.9194 -1.9194 12.1877
1.9194 1.9194 -12.1877
ATOMIC_POSITIONS angstrom
Y 0.0000 0.0000 0.0000
Cu 1.9194 0.0000 6.0939
Cu 0.0000 1.9194 6.0939
Bi 0.0000 0.0000 9.6859
Bi 0.0000 0.0000 14.6896
Se 0.0000 0.0000 4.5941
Se 0.0000 0.0000 19.7814
O 1.9194 0.0000 1.3665
O 1.9194 0.0000 10.8213
O 0.0000 1.9194 1.3665
O 0.0000 1.9194 10.8213
! D(E_F) = 0.196 states/eV per atom
! volume = 16.3 Å³/atom
! total DFT energy (no corrections) = -26.965 eV/atom
! total magnetization = 0.0 μB/cell
! space group = No. 139

***

> Which value of volume does entry 3 give?

16.3 Å³/atom

***

> The highest volume belongs to which entry?

ThSiS

***

> Among the records above, which one has the lowest D(E_F)?

ThSiS